(1)
A plane-wave DFT calculation with PBE was carried out for a relaxed Fe3BP crystal.

Calculated values
N(E_F)	2.82	states/eV/cell
SG	Pm-3m, No. 221
ΔH_f (0 K)	0.193	eV/atom
E_tot	-7.30	eV/atom
spin magnetization	0.000	μB/atom

Unit cell a=3.719 b=3.719 c=3.719 alpha=90.00 beta=90.00 gamma=90.00
Fractional positions:
Fe: 0.500 0.000 0.000
Fe: 0.000 0.500 0.000
Fe: 0.000 0.000 0.500
P: 0.500 0.500 0.500
B: 0.000 0.000 0.000

***

(2)
A plane-wave DFT calculation with PBE was carried out for a relaxed PmGdTc4 crystal.

Calculated values
N(E_F)	8.30	states/eV/cell
SG	F-43m, No. 216
ΔH_f (0 K)	-0.032	eV/atom
E_tot	-10.08	eV/atom
spin magnetization	1.002	μB/atom

Unit cell a=5.451 b=5.451 c=5.451 alpha=60.00 beta=60.00 gamma=60.00
Site moments in Bohr magnetons follow the coordinates.
Fractional positions:
Gd: 0.250 0.250 0.250  7.00
Tc: 0.125 0.625 0.625  -0.25
Tc: 0.625 0.625 0.625  -0.25
Tc: 0.625 0.125 0.625  -0.25
Tc: 0.625 0.625 0.125  -0.25
Pm: 0.000 0.000 0.000  0.00

***

(3)
A plane-wave DFT calculation with PBE was carried out for a relaxed MgTe4 crystal.

Calculated values
N(E_F)	2.31	states/eV/cell
formation energy from raw total energies	-0.104	eV per atom
SG	C2/m, No. 12
E_tot	-2.94	eV/atom
spin magnetization	0.000	μB/atom

Unit cell a=5.457 b=5.457 c=8.992 alpha=52.46 beta=52.46 gamma=57.44
Fractional positions:
Te: 0.325 0.325 0.546
Te: 0.675 0.675 0.454
Te: 0.772 0.772 0.903
Te: 0.228 0.228 0.097
Mg: 0.000 0.000 0.000

***

(4)
A plane-wave DFT calculation with PBE was carried out for a relaxed MnVTc crystal.

Calculated values
N(E_F)	4.13	states/eV/cell
SG	I4mm, No. 107
ΔH_f (0 K)	0.680	eV/atom
E_tot	-8.87	eV/atom
spin magnetization	0.000	μB/atom

Unit cell a=2.639 b=2.639 c=6.531 alpha=101.66 beta=101.66 gamma=90.00
Fractional positions:
Tc: 0.761 0.761 0.523
V: 0.958 0.958 0.916
Mn: 0.131 0.131 0.261

***

(5)
A plane-wave DFT calculation with PBE was carried out for a relaxed ScPdRh2Br crystal.

Calculated values
N(E_F)	3.26	states/eV/cell
formation energy from raw total energies	0.405	eV per atom
SG	P4/mmm, No. 123
E_tot	-5.18	eV/atom
spin magnetization	0.000	μB/atom

Unit cell a=4.625 b=4.676 c=4.625 alpha=90.00 beta=90.00 gamma=90.00
Fractional positions:
Br: 0.000 0.000 0.000
Pd: 0.000 0.500 0.000
Rh: 0.000 0.000 0.500
Rh: 0.500 0.000 0.000
Sc: 0.500 0.500 0.500

***

(6)
A plane-wave DFT calculation with PBE was carried out for a relaxed InRe2Sb crystal.

Calculated values
N(E_F)	4.31	states/eV/cell
formation energy from raw total energies	0.718	eV per atom
SG	R-3m, No. 166
E_tot	-7.22	eV/atom
spin magnetization	0.000	μB/atom

Unit cell a=9.021 b=9.021 c=9.021 alpha=19.54 beta=19.54 gamma=19.54
Fractional positions:
Re: 0.504 0.504 0.504
Re: 0.996 0.996 0.996
Sb: 0.250 0.250 0.250
In: 0.750 0.750 0.750

***

(7)
A plane-wave DFT calculation with PBE was carried out for a relaxed VAs3N crystal.

Calculated values
N(E_F)	1.66	states/eV/cell
formation energy from raw total energies	1.126	eV per atom
SG	Pm-3m, No. 221
E_tot	-5.15	eV/atom
spin magnetization	0.363	μB/atom

Unit cell a=4.696 b=4.696 c=4.696 alpha=90.00 beta=90.00 gamma=90.00
Site moments in Bohr magnetons follow the coordinates.
Fractional positions:
As: 0.000 0.000 0.500  -0.11
As: 0.000 0.500 0.000  -0.11
As: 0.500 0.000 0.000  -0.11
N: 0.500 0.500 0.500  1.52
V: 0.000 0.000 0.000  0.16

***

(8)
A plane-wave DFT calculation with PBE was carried out for a relaxed NaLiPO4 crystal.

Calculated values
N(E_F)	7.82	states/eV/cell
formation energy from raw total energies	-1.979	eV per atom
SG	I-4, No. 82
E_tot	-6.05	eV/atom
spin magnetization	0.144	μB/atom

Unit cell a=4.996 b=4.996 c=5.192 alpha=118.76 beta=118.76 gamma=90.00
Site moments in Bohr magnetons follow the coordinates.
Fractional positions:
O: 0.826 0.467 0.226  0.21
O: 0.533 0.600 0.774  0.21
O: 0.242 0.174 0.774  0.21
O: 0.400 0.758 0.226  0.21
Li: 0.250 0.750 0.500  0.01
Na: 0.000 0.000 0.000  0.00
P: 0.500 0.500 0.000  -0.02

***

(9)
A plane-wave DFT calculation with PBE was carried out for a relaxed ScTaNF2 crystal.

Calculated values
N(E_F)	4.35	states/eV/cell
formation energy from raw total energies	-1.254	eV per atom
SG	P4/mmm, No. 123
E_tot	-7.30	eV/atom
spin magnetization	0.432	μB/atom

Unit cell a=4.185 b=4.185 c=4.082 alpha=90.00 beta=90.00 gamma=90.00
Site moments in Bohr magnetons follow the coordinates.
Fractional positions:
F: 0.000 0.500 0.000  0.06
F: 0.500 0.000 0.000  0.06
N: 0.000 0.000 0.500  -0.05
Sc: 0.500 0.500 0.500  0.92
Ta: 0.000 0.000 0.000  0.58

***

(10)
A plane-wave DFT calculation with PBE was carried out for a relaxed SrGaS2Cl crystal.

Calculated values
N(E_F)	1.67	states/eV/cell
formation energy from raw total energies	-1.131	eV per atom
SG	P4/mmm, No. 123
E_tot	-4.09	eV/atom
spin magnetization	0.000	μB/atom

Unit cell a=4.813 b=4.813 c=4.964 alpha=90.00 beta=90.00 gamma=90.00
Fractional positions:
Ga: 0.000 0.000 0.000
Sr: 0.500 0.500 0.500
S: 0.000 0.500 0.000
S: 0.500 0.000 0.000
Cl: 0.000 0.000 0.500

***

(11)
A plane-wave DFT calculation with PBE was carried out for a relaxed LaTaFe crystal.

Calculated values
N(E_F)	4.74	states/eV/cell
SG	F-43m, No. 216
ΔH_f (0 K)	0.656	eV/atom
E_tot	-7.76	eV/atom
spin magnetization	0.001	μB/atom

Unit cell a=4.528 b=4.528 c=4.528 alpha=60.00 beta=60.00 gamma=60.00
Fractional positions:
La: 0.000 0.000 0.000
Fe: 0.750 0.750 0.750
Ta: 0.500 0.500 0.500

***

(12)
A plane-wave DFT calculation with PBE was carried out for a relaxed SiSb2IF crystal.

Calculated values
N(E_F)	3.60	states/eV/cell
formation energy from raw total energies	0.256	eV per atom
SG	P4/mmm, No. 123
E_tot	-3.16	eV/atom
spin magnetization	0.000	μB/atom

Unit cell a=4.670 b=4.670 c=6.090 alpha=90.00 beta=90.00 gamma=90.00
Fractional positions:
Si: 0.500 0.500 0.500
I: 0.000 0.000 0.500
F: 0.000 0.000 0.000
Sb: 0.000 0.500 0.000
Sb: 0.500 0.000 0.000